Density functional theory data (PBEsol) for DyTiGe after structural relaxation.

Summary:
The calculation puts the formation energy from the elements at -0.729 eV per atom. As for the energy: -6.809 eV/atom.

Unit cell a=4.0009 b=4.0009 c=7.5694 alpha=90.00 beta=90.00 gamma=90.00
With the nearest neighbours (Å) after each atom.
Atoms (fractional coordinates):
Dy (0.2500, 0.2500, 0.1563)  5 Ge 2.93-3.12
Dy (0.7500, 0.7500, 0.8437)  5 Ge 2.93-3.12
Ti (0.2500, 0.7500, 0.5000)  4 Ge 2.72, 4 Ti 2.83
Ti (0.7500, 0.2500, 0.5000)  4 Ge 2.72, 4 Ti 2.83
Ge (0.2500, 0.2500, 0.7440)  4 Ti 2.72, 4 Dy 2.93
Ge (0.7500, 0.7500, 0.2560)  4 Ti 2.72, 4 Dy 2.93

---

Density functional theory data (PBEsol) for YScAl4 after structural relaxation.

Summary:
The calculation puts the formation energy from the elements at -0.509 eV per atom. As for the energy: -5.475 eV/atom.

Unit cell a=5.4245 b=5.4245 c=5.4245 alpha=60.00 beta=60.00 gamma=60.00
With the nearest neighbours (Å) after each atom.
Atoms (fractional coordinates):
Y (0.0000, 0.0000, 0.0000)  12 Al 3.18, 4 Sc 3.32
Sc (0.2500, 0.2500, 0.2500)  12 Al 3.18, 4 Y 3.32
Al (0.1256, 0.6248, 0.6248)  6 Al 2.71-2.72
Al (0.6248, 0.1256, 0.6248)  6 Al 2.71-2.72
Al (0.6248, 0.6248, 0.1256)  6 Al 2.71-2.72
Al (0.6248, 0.6248, 0.6248)  6 Al 2.71-2.72

---

Density functional theory data (PBEsol) for Ca3MnTc after structural relaxation.

Summary:
The calculation puts the formation energy from the elements at 1.331 eV per atom. As for the energy: -4.154 eV/atom.

Unit cell a=5.2775 b=5.2775 c=5.2775 alpha=90.00 beta=90.00 gamma=90.00
With the nearest neighbours (Å) after each atom.
Atoms (fractional coordinates):
Ca (0.0000, 0.0000, 0.5000)  2 Mn 2.64
Ca (0.0000, 0.5000, 0.0000)  2 Mn 2.64
Ca (0.5000, 0.0000, 0.0000)  2 Mn 2.64
Mn (0.0000, 0.0000, 0.0000)  6 Ca 2.64
Tc (0.5000, 0.5000, 0.5000)  12 Ca 3.73